(1)
Density functional theory data (PBE) for a relaxed structure of PrZn4Cd.

Computed properties:
As for the calculated formation energy: -0.19 eV per atom.

a b c (Å): 4.3371 6.6235 8.6585
angles (deg): 90.00 104.50 90.00
Positions (direct):
Zn 0.5000 0.0000 0.0000
Zn 0.3440 0.4410 0.6880
Pr 0.8870 0.7500 0.7740
Zn 0.3440 0.0590 0.6880
Zn 0.5000 0.5000 0.0000
Cd 0.2340 0.7500 0.4679
Cd 0.7660 0.2500 0.5321
Zn 0.9302 0.2500 0.8604
Zn 0.6560 0.5590 0.3120
Zn 0.0698 0.7500 0.1396
Pr 0.1130 0.2500 0.2260
Zn 0.6560 0.9410 0.3120


(2)
Density functional theory data (PBE) for a relaxed structure of YUSe3.

Computed properties:
As for the energy relative to the elements, uncorrected: -1425.1 meV per atom. The relative energy among the computed polymorphs is 75 meV/atom.

a b c (Å): 4.0092 7.0919 9.0335
angles (deg): 90.00 90.00 90.00
Each line ends with the local moment (μB).
Positions (direct):
U 0.5000 0.0000 0.1604  2.60
Se 0.0000 0.7722 0.3281  -0.03
Se 0.5000 0.7278 0.6719  -0.03
Y 0.5000 0.5000 0.4016  0.04
Y 0.0000 0.0000 0.5984  0.04
Se 0.5000 0.2722 0.6719  -0.03
Se 0.0000 0.2278 0.3281  -0.03
Se 0.0000 0.0000 0.9361  -0.06
Se 0.5000 0.5000 0.0639  -0.06
U 0.0000 0.5000 0.8396  2.60


(3)
Density functional theory data (PBE) for a relaxed structure of Fe2CuMoH.

Computed properties:
The relative energy among the computed polymorphs is 0 meV/atom.

a b c (Å): 3.6889 3.6889 3.8682
angles (deg): 90.00 90.00 90.00
Each line ends with the local moment (μB).
Positions (direct):
Mo 0.0000 0.0000 0.5000  -0.09
Cu 0.5000 0.5000 0.5000  0.06
Fe 0.0000 0.5000 0.0000  1.85
Fe 0.5000 0.0000 0.0000  1.85
H 0.0000 0.0000 0.0000  -0.01


(4)
Density functional theory data (PBE) for a relaxed structure of HoPa3P4.

Computed properties:
As for the calculated formation energy: -1.39 eV per atom.

a b c (Å): 3.9709 6.8707 6.8707
angles (deg): 70.48 90.00 90.00
Positions (direct):
Pa 0.5000 0.0001 0.5000
P 0.0000 0.2500 0.2501
Ho 0.5000 0.5001 0.0000
P 0.0000 0.7503 0.7498
Pa 0.0000 0.5001 0.5000
P 0.4999 0.2509 0.7508
P 0.5000 0.7493 0.2492
Pa 0.0000 0.0001 0.0000


(5)
Density functional theory data (PBE) for a relaxed structure of Mn2Pd2PtAu2.

Computed properties:
As for the calculated formation energy: -0.19 eV per atom.

a b c (Å): 4.5229 4.4207 7.1371
angles (deg): 109.64 90.00 120.77
Each line ends with the local moment (μB).
Positions (direct):
Au 0.1422 0.2844 0.4234  0.02
Pd 0.4188 0.8376 0.2508  0.21
Mn 0.7195 0.4389 0.1515  3.90
Pd 0.5812 0.1624 0.7492  0.21
Au 0.8578 0.7156 0.5766  0.02
Pt 0.0000 0.0000 0.0000  0.26
Mn 0.2805 0.5611 0.8485  3.90


(6)
Density functional theory data (PBE) for a relaxed structure of Zr2ZnTcC.

Computed properties:
As for the calculated formation energy: -0.35 eV per atom.

a b c (Å): 4.5999 4.5999 3.9464
angles (deg): 90.00 90.00 90.00
Positions (direct):
C 0.0000 0.0000 0.0000
Zr 0.5000 0.0000 0.0000
Zn 0.5000 0.5000 0.5000
Zr 0.0000 0.5000 0.0000
Tc 0.0000 0.0000 0.5000


It is found that the VASP energy values, taken in the order of the records, are -1.99 -7.07 -6.83 -8.23 -6.09 -7.94 eV per atom.